BaV8O21, optimized geometry, DFT PBE with a Hubbard U; calculated total energy = -446.28 eV/cell; space-group type = P-1 (2)
1.0
-0.747 1.287 7.091
4.712 -5.365 3.305
11.713 9.566 -0.474
O V Ba
42 16 2
Direct
0.606 0.576 0.860 O
0.985 0.087 0.173 O
0.691 0.227 0.855 O
0.015 0.913 0.827 O
0.362 0.574 0.310 O
0.000 0.000 0.000 O
0.115 0.431 0.689 O
0.500 0.000 0.000 O
0.822 0.689 0.743 O
0.804 0.774 0.144 O
0.885 0.569 0.311 O
0.196 0.226 0.856 O
0.642 0.424 0.467 O
0.808 0.766 0.953 O
0.309 0.773 0.145 O
0.178 0.311 0.257 O
0.097 0.612 0.035 O
0.931 0.191 0.555 O
0.329 0.669 0.739 O
0.471 0.184 0.556 O
0.069 0.809 0.445 O
0.597 0.610 0.033 O
0.436 0.230 0.376 O
0.950 0.228 0.376 O
0.903 0.388 0.965 O
0.106 0.577 0.860 O
0.403 0.390 0.967 O
0.394 0.424 0.140 O
0.671 0.331 0.261 O
0.852 0.587 0.521 O
0.358 0.576 0.533 O
0.474 0.089 0.173 O
0.050 0.772 0.624 O
0.529 0.816 0.444 O
0.638 0.426 0.690 O
0.148 0.413 0.479 O
0.526 0.911 0.827 O
0.309 0.767 0.953 O
0.192 0.234 0.047 O
0.691 0.233 0.047 O
0.564 0.770 0.624 O
0.894 0.423 0.140 O
0.912 0.341 0.477 V
0.546 0.818 0.925 V
0.088 0.659 0.523 V
0.074 0.623 0.731 V
0.843 0.624 0.072 V
0.454 0.182 0.075 V
0.424 0.377 0.270 V
0.926 0.377 0.269 V
0.045 0.818 0.925 V
0.656 0.378 0.929 V
0.576 0.623 0.730 V
0.583 0.663 0.521 V
0.417 0.337 0.479 V
0.955 0.182 0.075 V
0.157 0.376 0.928 V
0.344 0.622 0.071 V
0.736 0.056 0.690 Ba
0.264 0.944 0.310 Ba